[1]
DFT (PBEsol) results for a geometry-optimized CaMnZn2 structure.

Cell lengths 5.677, 5.677, 5.677 Å; angles 44.27, 44.27, 44.27 degrees
Positions (direct):
Ca: 0.000 0.000 0.000
Mn: 0.806 0.806 0.806
Zn: 0.194 0.194 0.194
Zn: 0.505 0.505 0.505

SG = No. 160
formation enthalpy at 0 K = 0.10 eV per atom
size of the total moment = 3.5 μB per cell
crystal system = trigonal
density = 4.6 Mg/m³
total DFT energy (no corrections) = -3.66 eV/atom
DOS at the Fermi energy = 0.85 states/eV/atom



[2]
DFT (PBEsol) results for a geometry-optimized Ta3SiB structure.

Cell lengths 4.538, 4.538, 4.538 Å; angles 90.00, 90.00, 90.00 degrees
Positions (direct):
Ta: 0.000 0.000 0.500
Ta: 0.000 0.500 0.000
Ta: 0.500 0.000 0.000
Si: 0.000 0.000 0.000
B: 0.500 0.500 0.500

SG = No. 221
size of the total moment = 0.0 μB per cell
crystal system = cubic
energy relative to the elements, uncorrected = 1.729 eV/atom
density = 10.3 Mg/m³
total DFT energy (no corrections) = -8.35 eV/atom
DOS at the Fermi energy = 1.34 states/eV/atom



[3]
DFT (PBEsol) results for a geometry-optimized Ca2TlH2 structure.

Cell lengths 6.938, 6.938, 6.938 Å; angles 148.23, 148.23, 45.55 degrees
Positions (direct):
Ca: 0.157 0.157 0.000
Ca: 0.843 0.843 0.000
Tl: 0.500 0.500 0.000
H: 0.250 0.750 0.500
H: 0.750 0.250 0.500

SG = No. 139
size of the total moment = 0.0 μB per cell
crystal system = tetragonal
density = 5.2 Mg/m³
energy above the lowest structure with this stoichiometry = 0.000 eV per formula unit
total DFT energy (no corrections) = -3.21 eV/atom
DOS at the Fermi energy = 0.58 states/eV/atom



[4]
DFT (PBEsol) results for a geometry-optimized BeCl2 structure.

Cell lengths 6.018, 6.018, 5.776 Å; angles 90.00, 90.00, 120.00 degrees
Positions (direct):
Be: 0.000 0.000 0.000
Be: 0.333 0.667 0.500
Be: 0.667 0.333 0.500
Cl: 0.000 0.318 0.000
Cl: 0.000 0.654 0.500
Cl: 0.318 0.000 0.000
Cl: 0.346 0.346 0.500
Cl: 0.654 0.000 0.500
Cl: 0.682 0.682 0.000

SG = No. 189
size of the total moment = 0.0 μB per cell
crystal system = hexagonal
energy relative to the elements, uncorrected = -1.120 eV/atom
density = 2.2 Mg/m³
energy above the lowest structure with this stoichiometry = 0.884 eV per formula unit
total DFT energy (no corrections) = -3.79 eV/atom
DOS at the Fermi energy = 0.00 states/eV/atom



[5]
DFT (PBEsol) results for a geometry-optimized LiCrFe structure.

Cell lengths 6.646, 6.646, 6.646 Å; angles 159.75, 159.75, 28.79 degrees
Positions (direct):
Li: 0.000 0.000 0.000
Cr: 0.679 0.679 0.000
Fe: 0.333 0.333 0.000

SG = No. 107
formation enthalpy at 0 K = 0.44 eV per atom
size of the total moment = 2.2 μB per cell
crystal system = tetragonal
density = 5.4 Mg/m³
total DFT energy (no corrections) = -6.62 eV/atom
DOS at the Fermi energy = 1.01 states/eV/atom



[6]
DFT (PBEsol) results for a geometry-optimized CoReSb2 structure.

Cell lengths 6.388, 6.388, 6.388 Å; angles 152.86, 143.45, 46.12 degrees
Positions (direct):
Co: 0.000 0.000 0.000
Re: 0.192 0.692 0.500
Sb: 0.540 0.540 0.000
Sb: 0.804 0.304 0.500

SG = No. 44
size of the total moment = 0.0 μB per cell
crystal system = orthorhombic
energy relative to the elements, uncorrected = 0.401 eV/atom
density = 11.5 Mg/m³
energy above the lowest structure with this stoichiometry = 0.000 eV per formula unit
total DFT energy (no corrections) = -7.15 eV/atom
DOS at the Fermi energy = 0.90 states/eV/atom



Q: Which formula does entry 4 have?
A: BeCl2